i) La2FeCo after structural relaxation. Source: the Alexandria database, functional PBE-GGA. Values from VASP.

```
&SYSTEM
  ibrav = 0, nat = 4, ntyp = 3
/
ATOMIC_SPECIES
La 138.91 La.upf
Fe 55.84 Fe.upf
Co 58.93 Co.upf
ATOMIC_POSITIONS crystal
La 0.000 0.000 0.000
La 0.500 0.500 0.406
Fe 0.500 0.500 0.734
Co 0.000 0.000 0.669
CELL_PARAMETERS angstrom
3.385 0.000 0.000
0.000 3.385 0.000
0.000 0.000 8.187
```

* theoretical density: 6950 kg/m3

=====

ii) La2FeCo after structural relaxation. Source: the Alexandria database, functional PBE-GGA. Values from VASP.

```
&SYSTEM
  ibrav = 0, nat = 8, ntyp = 3
/
ATOMIC_SPECIES
La 138.91 La.upf
Fe 55.84 Fe.upf
Co 58.93 Co.upf
ATOMIC_POSITIONS crystal
La 0.000 0.000 0.000
La 0.000 0.500 0.500
La 0.500 0.000 0.278
La 0.500 0.500 0.778
Fe 0.500 0.000 0.587
Fe 0.500 0.500 0.087
Co 0.000 0.000 0.689
Co 0.000 0.500 0.189
CELL_PARAMETERS angstrom
3.931 0.000 0.000
0.000 4.116 0.000
0.000 0.000 11.703
```

* theoretical density: 6885 kg/m3

=====

ii) ends up most stable, edging out the next structure by 18.0 kJ/mol of atoms.

=====

i) La2FeCo after structural relaxation. Source: the Alexandria database, functional PBE-GGA. Values from VASP.

```
&SYSTEM
  ibrav = 0, nat = 16, ntyp = 3
/
ATOMIC_SPECIES
La 138.91 La.upf
Fe 55.84 Fe.upf
Co 58.93 Co.upf
ATOMIC_POSITIONS crystal
La 0.233 0.250 0.125
La 0.250 0.733 0.375
La 0.250 0.767 0.875
La 0.267 0.250 0.625
La 0.733 0.750 0.625
La 0.750 0.233 0.875
La 0.750 0.267 0.375
La 0.767 0.750 0.125
Fe 0.000 0.000 0.500
Fe 0.000 0.500 0.750
Fe 0.500 0.000 0.250
Fe 0.500 0.500 0.000
Co 0.000 0.000 0.000
Co 0.000 0.500 0.250
Co 0.500 0.000 0.750
Co 0.500 0.500 0.500
CELL_PARAMETERS angstrom
7.447 0.000 0.000
0.000 7.447 0.000
0.000 0.000 6.332
```

* theoretical density: 7426 kg/m3

=====

ii) La2FeCo after structural relaxation. Source: the Alexandria database, functional PBE-GGA. Values from VASP.

```
&SYSTEM
  ibrav = 0, nat = 4, ntyp = 3
/
ATOMIC_SPECIES
La 138.91 La.upf
Fe 55.84 Fe.upf
Co 58.93 Co.upf
ATOMIC_POSITIONS crystal
La 0.000 0.000 0.245
La 0.000 0.000 0.755
Fe 0.500 0.500 0.500
Co 0.500 0.500 0.000
CELL_PARAMETERS angstrom
3.524 0.000 0.000
0.000 3.542 0.000
0.000 0.000 7.109
```

* theoretical density: 7347 kg/m3

=====

ii) ends up most stable, edging out the next structure by 20.0 kJ/mol of atoms.

=====

i) LaFe2Co2 after structural relaxation. Source: the Alexandria database, functional PBE-GGA. Values from VASP.

```
&SYSTEM
  ibrav = 0, nat = 10, ntyp = 3
/
ATOMIC_SPECIES
La 138.91 La.upf
Fe 55.84 Fe.upf
Co 58.93 Co.upf
ATOMIC_POSITIONS crystal
La 0.000 0.000 0.000
La 0.500 0.500 0.000
Fe 0.115 0.385 0.000
Fe 0.385 0.885 0.000
Fe 0.615 0.115 0.000
Fe 0.885 0.615 0.000
Co 0.173 0.673 0.500
Co 0.327 0.173 0.500
Co 0.673 0.827 0.500
Co 0.827 0.327 0.500
CELL_PARAMETERS angstrom
7.160 0.000 0.000
0.000 7.160 0.000
0.000 0.000 2.691
```

* theoretical density: 8869 kg/m3

=====

ii) LaFe2Co2 after structural relaxation. Source: the Alexandria database, functional PBE-GGA. Values from VASP.

```
&SYSTEM
  ibrav = 0, nat = 10, ntyp = 3
/
ATOMIC_SPECIES
La 138.91 La.upf
Fe 55.84 Fe.upf
Co 58.93 Co.upf
ATOMIC_POSITIONS crystal
La 0.000 0.000 0.000
La 0.500 0.500 0.500
Fe 0.000 0.500 0.250
Fe 0.000 0.500 0.750
Fe 0.500 0.000 0.250
Fe 0.500 0.000 0.750
Co 0.000 0.000 0.380
Co 0.000 0.000 0.620
Co 0.500 0.500 0.120
Co 0.500 0.500 0.880
CELL_PARAMETERS angstrom
3.999 0.000 0.000
0.000 3.999 0.000
0.000 0.000 10.052
```

* theoretical density: 7611 kg/m3

=====

ii) ends up most stable, edging out the next structure by 42.5 kJ/mol of atoms.

=====

i) LaFeCoP2 after structural relaxation. Source: the Alexandria database, functional PBE-GGA. Values from VASP.

```
&SYSTEM
  ibrav = 0, nat = 10, ntyp = 4
/
ATOMIC_SPECIES
La 138.91 La.upf
Fe 55.84 Fe.upf
Co 58.93 Co.upf
P 30.97 P.upf
ATOMIC_POSITIONS crystal
La 0.000 0.000 0.000
La 0.500 0.500 0.500
Fe 0.000 0.500 0.750
Fe 0.500 0.000 0.250
Co 0.000 0.500 0.250
Co 0.500 0.000 0.750
P 0.000 0.000 0.353
P 0.000 0.000 0.647
P 0.500 0.500 0.147
P 0.500 0.500 0.853
CELL_PARAMETERS angstrom
3.749 0.000 0.000
0.000 3.749 0.000
0.000 0.000 11.329
```

* theoretical density: 6582 kg/m3

=====

ii) LaFeCoP2 after structural relaxation. Source: the Alexandria database, functional PBE-GGA. Values from VASP.

```
&SYSTEM
  ibrav = 0, nat = 5, ntyp = 4
/
ATOMIC_SPECIES
La 138.91 La.upf
Fe 55.84 Fe.upf
Co 58.93 Co.upf
P 30.97 P.upf
ATOMIC_POSITIONS crystal
La 0.000 0.000 0.000
Fe 0.500 0.500 0.500
Co 0.500 0.500 0.000
P 0.000 0.500 0.500
P 0.500 0.000 0.500
CELL_PARAMETERS angstrom
4.444 0.000 0.000
0.000 4.444 0.000
0.000 0.000 4.502
```

* theoretical density: 5894 kg/m3

=====

i) ends up most stable, edging out the next structure by 74.1 kJ/mol of atoms.

=====

i) LiFeCo2 after structural relaxation. Source: the Alexandria database, functional PBE-GGA. Values from VASP.

```
&SYSTEM
  ibrav = 0, nat = 16, ntyp = 3
/
ATOMIC_SPECIES
Li 6.94 Li.upf
Fe 55.84 Fe.upf
Co 58.93 Co.upf
ATOMIC_POSITIONS crystal
Li 0.000 0.000 0.000
Li 0.000 0.500 0.500
Li 0.500 0.000 0.500
Li 0.500 0.500 0.000
Fe 0.000 0.000 0.500
Fe 0.000 0.500 0.000
Fe 0.500 0.000 0.000
Fe 0.500 0.500 0.500
Co 0.250 0.250 0.250
Co 0.250 0.250 0.750
Co 0.250 0.750 0.250
Co 0.250 0.750 0.750
Co 0.750 0.250 0.250
Co 0.750 0.250 0.750
Co 0.750 0.750 0.250
Co 0.750 0.750 0.750
CELL_PARAMETERS angstrom
5.610 0.000 0.000
0.000 5.610 0.000
0.000 0.000 5.610
```

* theoretical density: 6795 kg/m3

=====

ii) LiFeCo2 after structural relaxation. Source: the Alexandria database, functional PBE-GGA. Values from VASP.

```
&SYSTEM
  ibrav = 0, nat = 8, ntyp = 3
/
ATOMIC_SPECIES
Li 6.94 Li.upf
Fe 55.84 Fe.upf
Co 58.93 Co.upf
ATOMIC_POSITIONS crystal
Li 0.000 0.000 0.000
Li 0.500 0.500 0.000
Fe 0.000 0.500 0.000
Fe 0.500 0.000 0.000
Co 0.250 0.250 0.500
Co 0.250 0.750 0.500
Co 0.750 0.250 0.500
Co 0.750 0.750 0.500
CELL_PARAMETERS angstrom
4.954 0.000 0.000
0.000 7.996 0.000
-0.821 0.000 2.268
```

* theoretical density: 6678 kg/m3

=====

ii) ends up most stable, edging out the next structure by 2.1 kJ/mol of atoms.

=====

i) LiFeCo2 after structural relaxation. Source: the Alexandria database, functional PBE-GGA. Values from VASP.

```
&SYSTEM
  ibrav = 0, nat = 8, ntyp = 3
/
ATOMIC_SPECIES
Li 6.94 Li.upf
Fe 55.84 Fe.upf
Co 58.93 Co.upf
ATOMIC_POSITIONS crystal
Li 0.000 0.000 0.000
Li 0.500 0.500 0.500
Fe 0.000 0.500 0.765
Fe 0.500 0.000 0.265
Co 0.000 0.000 0.506
Co 0.000 0.500 0.244
Co 0.500 0.000 0.744
Co 0.500 0.500 0.006
CELL_PARAMETERS angstrom
2.752 0.000 0.000
0.000 4.047 0.000
0.000 0.000 8.176
```

* theoretical density: 6590 kg/m3

=====

ii) LiFeCo2 after structural relaxation. Source: the Alexandria database, functional PBE-GGA. Values from VASP.

```
&SYSTEM
  ibrav = 0, nat = 4, ntyp = 3
/
ATOMIC_SPECIES
Li 6.94 Li.upf
Fe 55.84 Fe.upf
Co 58.93 Co.upf
ATOMIC_POSITIONS crystal
Li 0.000 0.000 0.000
Fe 0.500 0.500 0.744
Co 0.000 0.000 0.491
Co 0.500 0.500 0.254
CELL_PARAMETERS angstrom
2.436 0.000 0.000
0.000 3.766 0.000
0.000 0.000 4.931
```

* theoretical density: 6633 kg/m3

=====

iii) LiFeCo2 after structural relaxation. Source: the Alexandria database, functional PBE-GGA. Values from VASP.

```
&SYSTEM
  ibrav = 0, nat = 4, ntyp = 3
/
ATOMIC_SPECIES
Li 6.94 Li.upf
Fe 55.84 Fe.upf
Co 58.93 Co.upf
ATOMIC_POSITIONS crystal
Li 0.000 0.000 0.000
Fe 0.500 0.000 0.500
Co 0.253 0.500 0.750
Co 0.747 0.500 0.250
CELL_PARAMETERS angstrom
2.413 0.000 0.000
0.000 3.984 0.000
-0.707 0.000 4.682
```

* theoretical density: 6664 kg/m3

=====

iii) ends up most stable, edging out the next structure by 2.2 kJ/mol of atoms.